! PmEuHoEr | Alexandria via LeMat-Bulk | PBE-GGA | relaxed; values from VASP
! Size of the total moment: 7.11 μB/cell
! E_form: 152 meV/atom
&SYSTEM
  ibrav = 0, nat = 4, ntyp = 4
/
ATOMIC_SPECIES
Pm 145.00 Pm.upf
Eu 151.96 Eu.upf
Ho 164.93 Ho.upf
Er 167.26 Er.upf
CELL_PARAMETERS angstrom
0.000 4.069 4.069
4.069 0.000 4.069
4.069 4.069 0.000
ATOMIC_POSITIONS angstrom
Pm 0.000 0.000 0.000
Eu 4.069 4.069 4.069
Ho 2.035 2.035 2.035
Er 6.104 6.104 6.104